[1]
MgMnRe | Alexandria | SCAN | PBEsol geometry; size of the total moment = 0.00 μB per formula unit; ΔE_f = 0.15 eV per atom
1.0
-1.4613 1.4613 4.9357
1.4613 -1.4613 4.9357
1.4613 1.4613 -4.9357
Mg Mn Re
1 1 1
direct
0.0000 0.0000 0.0000
0.6775 0.6775 0.0000
0.3061 0.3061 0.0000

[2]
Li2GaRePb | Alexandria | SCAN | PBEsol geometry; size of the total moment = 4.36 μB per formula unit; ΔE_f = 1.38 eV per atom
1.0
4.8168 0.0000 0.0000
0.0000 4.8168 0.0000
0.0000 0.0000 5.2089
Li Ga Re Pb
2 1 1 1
direct
0.0000 0.5000 0.0000
0.5000 0.0000 0.0000
0.0000 0.0000 0.5000
0.5000 0.5000 0.5000
0.0000 0.0000 0.0000

[3]
Li3MgV8O16 | Alexandria | SCAN | PBEsol geometry; size of the total moment = 13.01 μB per formula unit; E_form (uncorrected) = -73.868 eV/f.u.
1.0
2.8831 1.6646 9.5539
-2.8831 1.6646 9.5539
0.0000 -3.3291 9.5539
Li Mg V O
3 1 8 16
direct
0.0000 0.0000 0.0000
0.1219 0.1219 0.1219
0.6244 0.6244 0.6244
0.8136 0.8136 0.8136
0.0413 0.5712 0.5712
0.0751 0.0751 0.5484
0.0751 0.5484 0.0751
0.3138 0.3138 0.3138
0.5000 0.5000 0.5000
0.5484 0.0751 0.0751
0.5712 0.0413 0.5712
0.5712 0.5712 0.0413
0.1807 0.6973 0.6973
0.1923 0.1923 0.1923
0.2063 0.2063 0.6608
0.2063 0.6608 0.2063
0.4289 0.4289 0.9582
0.4289 0.9582 0.4289
0.4342 0.4342 0.4342
0.4582 0.9214 0.9214
0.6608 0.2063 0.2063
0.6884 0.6884 0.6884
0.6973 0.1807 0.6973
0.6973 0.6973 0.1807
0.9214 0.4582 0.9214
0.9214 0.9214 0.4582
0.9312 0.9312 0.9312
0.9582 0.4289 0.4289

[4]
Sr5Mo2P7 | Alexandria | SCAN | PBEsol geometry; size of the total moment = 0.00 μB per formula unit; ΔE_f = -0.97 eV per atom
1.0
7.3936 0.0000 0.0000
-0.2254 10.4038 0.0000
-1.7069 -4.4168 9.3826
Sr Mo P
10 4 14
direct
0.0900 0.2283 0.0894
0.2189 0.0044 0.3825
0.2259 0.4043 0.8417
0.3541 0.5932 0.3488
0.3706 0.8526 0.7695
0.6294 0.1474 0.2305
0.6459 0.4068 0.6512
0.7741 0.5957 0.1583
0.7811 0.9956 0.6175
0.9100 0.7717 0.9106
0.0770 0.3653 0.4772
0.3872 0.7822 0.0935
0.6128 0.2178 0.9065
0.9230 0.6347 0.5228
0.0738 0.8059 0.4906
0.1109 0.5771 0.6859
0.1421 0.6578 0.1095
0.2636 0.9668 0.0583
0.3391 0.2992 0.3931
0.4170 0.1308 0.6938
0.4677 0.3547 0.0872
0.5323 0.6453 0.9128
0.5830 0.8692 0.3062
0.6609 0.7008 0.6069
0.7364 0.0332 0.9417
0.8579 0.3422 0.8905
0.8891 0.4229 0.3141
0.9262 0.1941 0.5094

Computed volume (Å³/atom) in order:
14.1, 24.2, 9.8, 25.8